1.
Density functional theory data (PBE) for a geometry-optimized Pm5Er2Tm3 structure.

Unit cell a=9.1627 b=9.1627 c=9.8899 alpha=108.18 beta=108.18 gamma=109.02
Last column: nearest neighbours and their distance in Å.
Sites, in units of the cell vectors:
Pm: 0.0196 0.9804 0.7500  1 Pm 3.11, 2 Er 3.38, 2 Tm 3.48
Pm: 0.1226 0.3866 0.7613  3 Pm 3.39-3.51, 3 Tm 3.40-3.75, 2 Er 3.63-3.72
Pm: 0.2280 0.7720 0.7500  3 Pm 3.11-3.39, 4 Tm 3.36-3.45, 2 Er 3.43
Pm: 0.3866 0.1226 0.2613  3 Pm 3.39-3.51, 3 Tm 3.40-3.75, 2 Er 3.63-3.72
Pm: 0.4790 0.5210 0.2500  3 Tm 3.04-3.37
Pm: 0.5210 0.4790 0.7500  3 Tm 3.04-3.37
Pm: 0.6134 0.8774 0.7387  3 Pm 3.39-3.51, 3 Tm 3.40-3.75, 2 Er 3.63-3.72
Pm: 0.7720 0.2280 0.2500  3 Pm 3.11-3.39, 4 Tm 3.36-3.45, 2 Er 3.43
Pm: 0.8774 0.6134 0.2387  3 Pm 3.39-3.51, 3 Tm 3.40-3.75, 2 Er 3.63-3.72
Pm: 0.9804 0.0196 0.2500  1 Pm 3.11, 2 Er 3.38, 2 Tm 3.48
Er: 0.0205 0.2797 0.0550  3 Tm 3.24-3.45, 5 Pm 3.38-3.63
Er: 0.2797 0.0205 0.5550  3 Tm 3.24-3.45, 5 Pm 3.38-3.63
Er: 0.7203 0.9795 0.4450  3 Tm 3.24-3.45, 5 Pm 3.38-3.63
Er: 0.9795 0.7203 0.9450  3 Tm 3.24-3.45, 5 Pm 3.38-3.63
Tm: 0.2191 0.4707 0.4436  1 Er 3.24, 5 Pm 3.36-3.50, 1 Tm 3.46
Tm: 0.2751 0.7249 0.2500  3 Pm 3.04-3.40, 2 Er 3.34
Tm: 0.4707 0.2191 0.9436  1 Er 3.24, 5 Pm 3.36-3.50, 1 Tm 3.46
Tm: 0.5293 0.7809 0.0564  1 Er 3.24, 5 Pm 3.36-3.50, 1 Tm 3.46
Tm: 0.7249 0.2751 0.7500  3 Pm 3.04-3.40, 2 Er 3.34
Tm: 0.7809 0.5293 0.5564  1 Er 3.24, 5 Pm 3.36-3.50, 1 Tm 3.46

Calculated values
SG ... C2/c, No. 15
Calculated density ... 7.86 Mg/m³
Volume ... 33.1 A^3/atom
Energy of formation from the pure elements ... 0.19 eV per atom
M_tot ... 0.000 μB per cell

2.
Density functional theory data (PBE) for a geometry-optimized CrTeRh2 structure.

Unit cell a=3.2283 b=3.7938 c=5.4366 alpha=90.00 beta=90.00 gamma=90.00
Last column: nearest neighbours and their distance in Å.
Sites, in units of the cell vectors:
Cr: 0.0000 0.0000 0.0000  6 Rh 2.58-2.86
Te: 0.5000 0.5000 0.6735  6 Rh 2.70-2.74
Rh: 0.0000 0.0000 0.4743  2 Cr 2.58-2.86, 4 Te 2.72
Rh: 0.5000 0.5000 0.1693  4 Cr 2.66, 2 Te 2.70-2.74

Calculated values
SG ... Pmm2, No. 25
Calculated density ... 9.61 Mg/m³
Formation energy from raw total energies ... 9 kJ/mol of atoms
Volume ... 16.6 A^3/atom
M_tot ... 3.369 μB per cell

3.
Density functional theory data (PBE) for a geometry-optimized Ho6Sc12Pb structure.

Unit cell a=8.0237 b=8.0237 c=8.0237 alpha=93.30 beta=93.30 gamma=93.30
Last column: nearest neighbours and their distance in Å.
Sites, in units of the cell vectors:
Ho: 0.2165 0.7618 0.3805  9 Sc 3.13-3.50, 1 Pb 3.32, 2 Ho 3.49
Ho: 0.2382 0.6195 0.7835  9 Sc 3.13-3.50, 1 Pb 3.32, 2 Ho 3.49
Ho: 0.3805 0.2165 0.7618  9 Sc 3.13-3.50, 1 Pb 3.32, 2 Ho 3.49
Ho: 0.6195 0.7835 0.2382  9 Sc 3.13-3.50, 1 Pb 3.32, 2 Ho 3.49
Ho: 0.7618 0.3805 0.2165  9 Sc 3.13-3.50, 1 Pb 3.32, 2 Ho 3.49
Ho: 0.7835 0.2382 0.6195  9 Sc 3.13-3.50, 1 Pb 3.32, 2 Ho 3.49
Sc: 0.0312 0.9660 0.7134  3 Sc 2.99-3.19, 2 Ho 3.13-3.34
Sc: 0.0340 0.2866 0.9688  3 Sc 2.99-3.19, 2 Ho 3.13-3.34
Sc: 0.1255 0.3593 0.4389  4 Sc 2.99-3.29, 1 Pb 3.15, 3 Ho 3.30-3.35
Sc: 0.2866 0.9688 0.0340  3 Sc 2.99-3.19, 2 Ho 3.13-3.34
Sc: 0.3593 0.4389 0.1255  4 Sc 2.99-3.29, 1 Pb 3.15, 3 Ho 3.30-3.35
Sc: 0.4389 0.1255 0.3593  4 Sc 2.99-3.29, 1 Pb 3.15, 3 Ho 3.30-3.35
Sc: 0.5611 0.8745 0.6407  4 Sc 2.99-3.29, 1 Pb 3.15, 3 Ho 3.30-3.35
Sc: 0.6407 0.5611 0.8745  4 Sc 2.99-3.29, 1 Pb 3.15, 3 Ho 3.30-3.35
Sc: 0.7134 0.0312 0.9660  3 Sc 2.99-3.19, 2 Ho 3.13-3.34
Sc: 0.8745 0.6407 0.5611  4 Sc 2.99-3.29, 1 Pb 3.15, 3 Ho 3.30-3.35
Sc: 0.9660 0.7134 0.0312  3 Sc 2.99-3.19, 2 Ho 3.13-3.34
Sc: 0.9688 0.0340 0.2866  3 Sc 2.99-3.19, 2 Ho 3.13-3.34
Pb: 0.5000 0.5000 0.5000  6 Sc 3.15, 6 Ho 3.32

Calculated values
SG ... R-3, No. 148
Calculated density ... 5.61 Mg/m³
Volume ... 27.0 A^3/atom
Energy of formation from the pure elements ... 0.10 eV per atom
M_tot ... 0.049 μB per cell

4.
Density functional theory data (PBE) for a geometry-optimized Ti3Be9Co2 structure.

Unit cell a=6.7948 b=6.7948 c=6.7948 alpha=149.41 beta=114.58 gamma=73.93
Last column: nearest neighbours and their distance in Å.
Sites, in units of the cell vectors:
Ti: 0.0000 0.0000 0.0000  12 Be 2.49-2.76
Ti: 0.3028 0.3028 0.0000  14 Be 2.52-2.79, 2 Co 2.56
Ti: 0.6972 0.6972 0.0000  14 Be 2.52-2.79, 2 Co 2.56
Be: 0.0234 0.6672 0.3562  4 Be 2.08-2.26, 1 Co 2.18
Be: 0.1475 0.8688 0.2787  4 Be 2.08-2.26, 2 Co 2.30
Be: 0.3110 0.6672 0.6438  4 Be 2.08-2.26, 1 Co 2.18
Be: 0.4098 0.1312 0.2787  4 Be 2.08-2.26, 2 Co 2.30
Be: 0.5000 0.0000 0.5000  4 Be 2.16, 4 Co 2.28
Be: 0.5902 0.8688 0.7213  4 Be 2.08-2.26, 2 Co 2.30
Be: 0.6890 0.3328 0.3562  4 Be 2.08-2.26, 1 Co 2.18
Be: 0.8525 0.1312 0.7213  4 Be 2.08-2.26, 2 Co 2.30
Be: 0.9766 0.3328 0.6438  4 Be 2.08-2.26, 1 Co 2.18
Co: 0.3087 0.5000 0.8087  8 Be 2.18-2.30
Co: 0.6913 0.5000 0.1913  8 Be 2.18-2.30

Calculated values
SG ... Immm, No. 71
Calculated density ... 3.98 Mg/m³
Volume ... 10.2 A^3/atom
Energy of formation from the pure elements ... -0.25 eV per atom
M_tot ... 0.000 μB per cell

5.
Density functional theory data (PBE) for a geometry-optimized KPtS structure.

Unit cell a=12.5454 b=4.2583 c=8.0822 alpha=90.00 beta=130.10 gamma=90.00
Last column: nearest neighbours and their distance in Å.
Sites, in units of the cell vectors:
K: 0.2277 0.0000 0.2273  6 S 3.29-3.67, 6 Pt 3.49-3.62
K: 0.2723 0.5000 0.7727  6 S 3.29-3.67, 6 Pt 3.49-3.62
K: 0.7277 0.5000 0.2273  6 S 3.29-3.67, 6 Pt 3.49-3.62
K: 0.7723 0.0000 0.7727  6 S 3.29-3.67, 6 Pt 3.49-3.62
Pt: 0.0002 0.0000 0.3369  2 S 2.24
Pt: 0.9998 0.0000 0.6631  2 S 2.24
Pt: 0.5002 0.5000 0.3369  2 S 2.24
Pt: 0.4998 0.5000 0.6631  2 S 2.24
S: 0.0004 0.5000 0.2519  2 Pt 2.24
S: 0.9996 0.5000 0.7481  2 Pt 2.24
S: 0.5004 0.0000 0.2519  2 Pt 2.24
S: 0.4996 0.0000 0.7481  2 Pt 2.24

Calculated values
SG ... C2/m, No. 12
Calculated density ... 5.35 Mg/m³
Formation energy from raw total energies ... -58 kJ/mol of atoms
Volume ... 27.5 A^3/atom
M_tot ... 0.000 μB per cell

6.
Density functional theory data (PBE) for a geometry-optimized NbCdPS2 structure.

Unit cell a=4.7594 b=4.7594 c=5.0412 alpha=90.00 beta=90.00 gamma=90.00
Last column: nearest neighbours and their distance in Å.
Sites, in units of the cell vectors:
Nb: 0.0000 0.0000 0.0000  4 S 2.38, 2 P 2.52
Cd: 0.5000 0.5000 0.5000  4 P 3.37, 8 S 3.47
P: 0.0000 0.0000 0.5000  2 Nb 2.52
S: 0.0000 0.5000 0.0000  2 Nb 2.38
S: 0.5000 0.0000 0.0000  2 Nb 2.38

Calculated values
SG ... P4/mmm, No. 123
Calculated density ... 4.37 Mg/m³
Offset from the most stable computed form ... 0 meV per atom
Formation energy from raw total energies ... -8 kJ/mol of atoms
Volume ... 22.8 A^3/atom
M_tot ... 0.000 μB per cell

7.
Density functional theory data (PBE) for a geometry-optimized BaAs2BrN structure.

Unit cell a=6.7984 b=6.7984 c=6.2331 alpha=90.00 beta=90.00 gamma=90.00
Last column: nearest neighbours and their distance in Å.
Sites, in units of the cell vectors:
Ba: 0.0000 0.0000 0.0000  2 Br 3.12, 4 As 3.40
As: 0.0000 0.5000 0.0000  2 Ba 3.40
As: 0.5000 0.0000 0.0000  2 Ba 3.40
Br: 0.0000 0.0000 0.5000  2 Ba 3.12
N: 0.5000 0.5000 0.5000  8 As 4.61, 4 Br 4.81

Calculated values
SG ... P4/mmm, No. 123
Calculated density ... 2.20 Mg/m³
Offset from the most stable computed form ... 1261 meV per atom
Formation energy from raw total energies ... 118 kJ/mol of atoms
Volume ... 57.6 A^3/atom
M_tot ... 2.000 μB per cell

8.
Density functional theory data (PBE) for a geometry-optimized SmDy4In2 structure.

Unit cell a=6.3579 b=10.8282 c=6.8090 alpha=90.00 beta=113.33 gamma=90.00
Last column: nearest neighbours and their distance in Å.
Sites, in units of the cell vectors:
Sm: 0.0000 0.0000 0.0000  2 In 3.28, 2 Dy 3.60
Sm: 0.0000 0.5000 0.5000  2 In 3.28, 2 Dy 3.60
Dy: 0.0051 0.1679 0.5003  2 In 3.19-3.22, 2 Dy 3.40
Dy: 0.0051 0.3321 0.0003  2 In 3.19-3.22, 2 Dy 3.40
Dy: 0.4941 0.7209 0.4986  4 In 3.11-3.37, 4 Dy 3.40-3.46
Dy: 0.4941 0.7791 0.9986  4 In 3.11-3.37, 4 Dy 3.40-3.46
Dy: 0.5059 0.2209 0.0014  4 In 3.11-3.37, 4 Dy 3.40-3.46
Dy: 0.5059 0.2791 0.5014  4 In 3.11-3.37, 4 Dy 3.40-3.46
Dy: 0.9949 0.6679 0.9997  2 In 3.19-3.22, 2 Dy 3.40
Dy: 0.9949 0.8321 0.4997  2 In 3.19-3.22, 2 Dy 3.40
In: 0.4514 0.5011 0.1908  1 In 2.90, 4 Dy 3.11-3.22
In: 0.4514 0.9989 0.6908  1 In 2.90, 4 Dy 3.11-3.22
In: 0.5486 0.0011 0.3092  1 In 2.90, 4 Dy 3.11-3.22
In: 0.5486 0.4989 0.8092  1 In 2.90, 4 Dy 3.11-3.22

Calculated values
SG ... P2_1/c, No. 14
Calculated density ... 7.95 Mg/m³
Offset from the most stable computed form ... 42 meV per atom
Volume ... 30.7 A^3/atom
Energy of formation from the pure elements ... -0.13 eV per atom
M_tot ... 0.000 μB per cell